No. 1
## NiTePb2I (PBE-GGA)

Data for a relaxed NiTePb2I crystal.

Geometry as POSCAR:
```
NiTePb2I
1.0
5.999 0.000 0.000
0.000 5.999 0.000
0.000 0.000 5.977
Ni Te Pb I
1 1 2 1
Direct
0.000 0.000 0.000
0.500 0.500 0.000
0.000 0.500 0.500
0.500 0.000 0.500
0.500 0.500 0.500
```

Properties
- spin magnetization (μB/atom) = 0.066
- electronic total energy (eV for the cell shown) = -11.60
- DOS(E_F) (states/eV/atom) = 1.773
- formation energy (no corrections) (eV per atom) = 1.2580

No. 2
## OsRhAu2 (PBE-GGA)

Data for a relaxed OsRhAu2 crystal.

Geometry as POSCAR:
```
OsRhAu2
1.0
1.403 0.810 9.455
-1.403 0.810 9.455
0.000 -1.620 9.455
Os Rh Au
1 1 2
Direct
0.000 0.000 0.000
0.260 0.260 0.260
0.509 0.509 0.509
0.751 0.751 0.751
```

Properties
- spin magnetization (μB/atom) = 0.000
- excess energy over the best structure of this formula in the dataset (eV per atom) = 0.012
- electronic total energy (eV for the cell shown) = -24.23
- DOS(E_F) (states/eV/atom) = 1.023

No. 3
## SrZrMn2As (PBE-GGA)

Data for a relaxed SrZrMn2As crystal.

Geometry as POSCAR:
```
SrZrMn2As
1.0
4.796 0.000 0.000
0.000 4.796 0.000
0.000 0.000 5.516
Sr Zr Mn As
1 1 2 1
Direct
0.000 0.000 0.000
0.000 0.000 0.500
0.000 0.500 0.000
0.500 0.000 0.000
0.500 0.500 0.500
```

Properties
- spin magnetization (μB/atom) = 1.327
- electronic total energy (eV for the cell shown) = -23.50
- DOS(E_F) (states/eV/atom) = 1.099

No. 4
## PrHo3Er (PBE-GGA)

Data for a relaxed PrHo3Er crystal.

Geometry as POSCAR:
```
PrHo3Er
1.0
3.639 0.000 0.000
0.000 11.581 0.000
-1.816 0.000 8.306
Pr Ho Er
2 6 2
Direct
0.193 0.250 0.387
0.807 0.750 0.613
0.143 0.750 0.285
0.347 0.002 0.695
0.347 0.498 0.695
0.653 0.502 0.305
0.653 0.998 0.305
0.857 0.250 0.715
0.481 0.750 0.960
0.519 0.250 0.040
```

Properties
- spin magnetization (μB/atom) = 0.000
- excess energy over the best structure of this formula in the dataset (eV per atom) = 0.325
- electronic total energy (eV for the cell shown) = -42.76
- DOS(E_F) (states/eV/atom) = 1.694

No. 5
## HfAsOsSe2 (PBE-GGA)

Data for a relaxed HfAsOsSe2 crystal.

Geometry as POSCAR:
```
HfAsOsSe2
1.0
5.045 0.000 0.000
0.000 5.045 0.000
0.000 0.000 5.271
Hf As Os Se
1 1 1 2
Direct
0.000 0.000 0.000
0.000 0.000 0.500
0.500 0.500 0.500
0.000 0.500 0.000
0.500 0.000 0.000
```

Properties
- spin magnetization (μB/atom) = 0.806
- excess energy over the best structure of this formula in the dataset (eV per atom) = 0.348
- electronic total energy (eV for the cell shown) = -27.84
- DOS(E_F) (states/eV/atom) = 1.023
- formation energy (no corrections) (eV per atom) = 0.9915

No. 6
## Tl2Zn2Ag (PBE-GGA)

Data for a relaxed Tl2Zn2Ag crystal.

Geometry as POSCAR:
```
Tl2Zn2Ag
1.0
-2.227 2.227 6.229
2.227 -2.227 6.229
2.227 2.227 -6.229
Tl Zn Ag
2 2 1
Direct
0.250 0.750 0.500
0.750 0.250 0.500
0.095 0.095 0.000
0.905 0.905 0.000
0.500 0.500 0.000
```

Properties
- spin magnetization (μB/atom) = 0.000
- excess energy over the best structure of this formula in the dataset (eV per atom) = 0.219
- electronic total energy (eV for the cell shown) = -8.36
- DOS(E_F) (states/eV/atom) = 0.398

No. 7
## Ca3RuW (PBE-GGA)

Data for a relaxed Ca3RuW crystal.

Geometry as POSCAR:
```
Ca3RuW
1.0
5.308 0.000 0.000
0.000 5.308 0.000
0.000 0.000 5.308
Ca Ru W
3 1 1
Direct
0.000 0.000 0.500
0.000 0.500 0.000
0.500 0.000 0.000
0.000 0.000 0.000
0.500 0.500 0.500
```

Properties
- spin magnetization (μB/atom) = 0.827
- excess energy over the best structure of this formula in the dataset (eV per atom) = 0.000
- electronic total energy (eV for the cell shown) = -22.23
- DOS(E_F) (states/eV/atom) = 0.826

No. 8
## Ac3Cd4Sn2 (PBE-GGA)

Data for a relaxed Ac3Cd4Sn2 crystal.

Geometry as POSCAR:
```
Ac3Cd4Sn2
1.0
6.170 -2.460 0.000
6.170 2.460 0.000
-3.264 0.000 9.180
Ac Cd Sn
3 4 2
Direct
0.000 0.000 0.000
0.322 0.322 0.351
0.678 0.678 0.649
0.012 0.012 0.356
0.248 0.248 0.921
0.752 0.752 0.079
0.988 0.988 0.644
0.390 0.390 0.726
0.610 0.610 0.274
```

Properties
- spin magnetization (μB/atom) = 0.000
- electronic total energy (eV for the cell shown) = -28.47
- DOS(E_F) (states/eV/atom) = 0.479

No. 9
## ZrCu (PBE-GGA)

Data for a relaxed ZrCu crystal.

Geometry as POSCAR:
```
ZrCu
1.0
-4.080 4.080 4.080
4.080 -4.080 4.080
4.080 4.080 -4.080
Zr Cu
4 4
Direct
0.000 0.000 0.272
0.000 0.272 0.000
0.272 0.000 0.000
0.728 0.728 0.728
0.000 0.000 0.644
0.000 0.644 0.000
0.356 0.356 0.356
0.644 0.000 0.000
```

Properties
- spin magnetization (μB/atom) = 0.000
- electronic total energy (eV for the cell shown) = -41.41
- DOS(E_F) (states/eV/atom) = 1.556

No. 10
## AcPPd6Au (PBE-GGA)

Data for a relaxed AcPPd6Au crystal.

Geometry as POSCAR:
```
AcPPd6Au
1.0
-2.881 4.780 6.322
2.881 -4.780 6.322
2.881 4.780 -6.322
Ac P Pd Au
2 2 12 2
Direct
0.413 0.163 0.250
0.587 0.837 0.750
0.000 0.500 0.500
0.500 0.500 0.000
0.126 0.386 0.239
0.126 0.887 0.740
0.189 0.939 0.250
0.296 0.546 0.750
0.353 0.113 0.739
0.353 0.614 0.240
0.647 0.386 0.760
0.647 0.887 0.261
0.704 0.454 0.250
0.811 0.061 0.750
0.874 0.113 0.260
0.874 0.614 0.761
0.000 0.000 0.500
0.000 0.500 0.000
```

Properties
- spin magnetization (μB/atom) = 0.000
- electronic total energy (eV for the cell shown) = -93.38
- DOS(E_F) (states/eV/atom) = 0.380

> Which formula does entry 10 have?

AcPPd6Au

> Which of these has the highest DOS(E_F)?

NiTePb2I

> The highest electronic total energy belongs to which entry?

Tl2Zn2Ag